Here is an optimized crystal structure of LaPmI2 from the Alexandria database. Energies are from PBE-GGA.

* symmetry: R-3m, No. 166
* magnetic moment: 0.7 μB/cell
* DOS at the Fermi energy: 3.68 states/eV/f.u.
* ΔE_f (raw): -76.12 kJ/mol of atoms
* energy relative to the lowest polymorph listed for this composition: 0.57 eV/f.u.

Cell lengths 11.303, 11.303, 11.303 Å; angles 20.04, 20.04, 20.04 degrees
Fractional positions:
La (0.000, 0.000, 0.000)
Pm (0.500, 0.500, 0.500)
I (0.098, 0.098, 0.098)
I (0.902, 0.902, 0.902)